# 1
VASP calculation (PBE-GGA) on a relaxed structure of Hf3InN5.

Unit cell a=5.6737 b=5.6737 c=4.4031 alpha=90.00 beta=90.00 gamma=120.00
With the nearest neighbours (Å) after each atom.
Fractional coordinates of all 9 atoms:
Hf  0.0000  0.5000  0.5000  4 N 2.21
Hf  0.5000  0.0000  0.5000  4 N 2.21
Hf  0.5000  0.5000  0.5000  4 N 2.21
N  0.3333  0.6667  0.1613  1 N 1.42
N  0.0000  0.0000  0.5000  2 In 2.20
N  0.3333  0.6667  0.8387  1 N 1.42
N  0.6667  0.3333  0.1613  1 N 1.42
N  0.6667  0.3333  0.8387  1 N 1.42
In  0.0000  0.0000  0.0000  2 N 2.20

Results
symmetry = No. 191
V = 13.6 A^3/atom
energy = -8.3018 eV/atom

# 2
VASP calculation (PBE-GGA) on a relaxed structure of CsKSbAu.

Unit cell a=7.1114 b=6.9057 c=6.9057 alpha=109.19 beta=90.00 gamma=90.00
With the nearest neighbours (Å) after each atom.
Fractional coordinates of all 8 atoms:
Au  0.7550  0.9946  0.9946  2 Sb 2.68-2.69
Au  0.2450  0.9946  0.9946  2 Sb 2.68-2.69
K  0.0000  0.5067  0.8407  2 Au 3.63, 1 K 3.76, 2 Sb 3.80-3.87
K  0.0000  0.8407  0.5067  2 Au 3.63, 1 K 3.76, 2 Sb 3.80-3.87
Cs  0.5000  0.5020  0.1629  2 Au 3.77, 4 Sb 3.78-4.09, 1 Cs 3.82, 2 K 4.20
Cs  0.5000  0.1629  0.5020  2 Au 3.77, 4 Sb 3.78-4.09, 1 Cs 3.82, 2 K 4.20
Sb  0.5000  0.7475  0.7475  2 Au 2.68
Sb  0.0000  0.2510  0.2510  2 Au 2.69

Results
symmetry = No. 38
distance to the lowest polymorph of the same formula = 19 meV per atom
V = 40.0 A^3/atom
energy = -2.8357 eV/atom

# 3
VASP calculation (PBE-GGA) on a relaxed structure of GdTaTc.

Unit cell a=4.5467 b=4.5467 c=4.5467 alpha=60.00 beta=60.00 gamma=60.00
With the nearest neighbours (Å) after each atom.
Fractional coordinates of all 3 atoms:
Ta  0.2500  0.2500  0.2500  4 Gd 2.78
Gd  0.0000  0.0000  0.0000  4 Ta 2.78, 4 Tc 2.78
Tc  0.7500  0.7500  0.7500  4 Gd 2.78

Results
symmetry = No. 216
V = 22.2 A^3/atom
ΔH_f (0 K) = 1.5444 eV per atom
energy = -7.4114 eV/atom

# 4
VASP calculation (PBE-GGA) on a relaxed structure of YZn2Pd2.

Unit cell a=3.9284 b=3.9284 c=6.5968 alpha=107.32 beta=107.32 gamma=90.00
With the nearest neighbours (Å) after each atom.
Fractional coordinates of all 5 atoms:
Y  0.0000  0.0000  0.0000  8 Pd 3.08
Pd  0.6107  0.6107  0.2214  4 Zn 2.58, 1 Pd 2.65
Pd  0.3893  0.3893  0.7786  4 Zn 2.58, 1 Pd 2.65
Zn  0.2500  0.7500  0.5000  4 Pd 2.58, 4 Zn 2.78
Zn  0.7500  0.2500  0.5000  4 Pd 2.58, 4 Zn 2.78

Results
symmetry = No. 139
distance to the lowest polymorph of the same formula = 0 meV per atom
V = 18.5 A^3/atom
ΔH_f (0 K) = -0.6286 eV per atom
energy = -4.4976 eV/atom